BaInOs2 | PBE | relaxed

Summary:
The density of states at the Fermi level is 4.3 states/eV/f.u. The calculation puts the mass density at 12.5 g cm⁻³. As for the formation energy: 1330 meV/atom. For the total DFT energy (no corrections), the calculation gives -21.80 eV/cell. For the calculated volume, the calculation gives 20.97 Å³ per atom.

Structure (CIF):
```
data_BaInOs2
_chemical_formula_sum 'Ba1 In1 Os2'
_symmetry_space_group_name_H-M 'P 1'
_symmetry_Int_Tables_number 1
_cell_length_a 3.217
_cell_length_b 5.426
_cell_length_c 4.807
_cell_angle_alpha 90.00
_cell_angle_beta 90.00
_cell_angle_gamma 90.00
loop_
_symmetry_equiv_pos_as_xyz
'x,y,z'
loop_
_atom_site_label
_atom_site_fract_x
_atom_site_fract_y
_atom_site_fract_z
_atom_site_occupancy
Os1 0.500 0.500 0.000 1
Os2 0.000 0.000 0.000 1
Ba1 0.500 0.000 0.500 1
In1 0.000 0.500 0.500 1
```

***

BaInOs2 | PBE | relaxed

Summary:
The density of states at the Fermi level is 5.0 states/eV/f.u. The calculation puts the mass density at 12.1 g cm⁻³. As for the formation energy: 1282 meV/atom. For the total DFT energy (no corrections), the calculation gives -21.99 eV/cell. For the calculated volume, the calculation gives 21.74 Å³ per atom.

Structure (CIF):
```
data_BaInOs2
_chemical_formula_sum 'Ba1 In1 Os2'
_symmetry_space_group_name_H-M 'P 1'
_symmetry_Int_Tables_number 1
_cell_length_a 4.967
_cell_length_b 4.967
_cell_length_c 4.967
_cell_angle_alpha 119.76
_cell_angle_beta 119.76
_cell_angle_gamma 90.42
loop_
_symmetry_equiv_pos_as_xyz
'x,y,z'
loop_
_atom_site_label
_atom_site_fract_x
_atom_site_fract_y
_atom_site_fract_z
_atom_site_occupancy
Ba1 0.500 0.500 0.000 1
Os1 0.000 0.000 0.000 1
Os2 0.250 0.750 0.500 1
In1 0.750 0.250 0.500 1
```

***

Ba4InOs | PBE | relaxed

Summary:
The density of states at the Fermi level is 9.0 states/eV/f.u. The calculation puts the mass density at 6.2 g cm⁻³. As for the formation energy: 1097 meV/atom. For the total DFT energy (no corrections), the calculation gives -15.08 eV/cell. For the calculated volume, the calculation gives 38.10 Å³ per atom.

Structure (CIF):
```
data_Ba4InOs
_chemical_formula_sum 'Ba4 In1 Os1'
_symmetry_space_group_name_H-M 'P 1'
_symmetry_Int_Tables_number 1
_cell_length_a 6.863
_cell_length_b 6.863
_cell_length_c 6.863
_cell_angle_alpha 60.00
_cell_angle_beta 60.00
_cell_angle_gamma 60.00
loop_
_symmetry_equiv_pos_as_xyz
'x,y,z'
loop_
_atom_site_label
_atom_site_fract_x
_atom_site_fract_y
_atom_site_fract_z
_atom_site_occupancy
Ba1 0.374 0.374 0.878 1
Ba2 0.374 0.374 0.374 1
Ba3 0.374 0.878 0.374 1
Ba4 0.878 0.374 0.374 1
In1 0.750 0.750 0.750 1
Os1 0.000 0.000 0.000 1
```

***

BaInOs2 | PBE | relaxed

Summary:
The density of states at the Fermi level is 4.6 states/eV/f.u. The calculation puts the mass density at 11.4 g cm⁻³. As for the formation energy: 840 meV/atom. For the total DFT energy (no corrections), the calculation gives -23.76 eV/cell. For the calculated volume, the calculation gives 23.08 Å³ per atom.

Structure (CIF):
```
data_BaInOs2
_chemical_formula_sum 'Ba1 In1 Os2'
_symmetry_space_group_name_H-M 'P 1'
_symmetry_Int_Tables_number 1
_cell_length_a 3.029
_cell_length_b 4.396
_cell_length_c 6.933
_cell_angle_alpha 90.00
_cell_angle_beta 90.00
_cell_angle_gamma 90.00
loop_
_symmetry_equiv_pos_as_xyz
'x,y,z'
loop_
_atom_site_label
_atom_site_fract_x
_atom_site_fract_y
_atom_site_fract_z
_atom_site_occupancy
Os1 0.000 0.000 0.920 1
Os2 0.000 0.000 0.580 1
In1 0.500 0.500 0.750 1
Ba1 0.500 0.500 0.250 1
```

***

BaInOs4 | PBE | relaxed

Summary:
The density of states at the Fermi level is 10.4 states/eV/f.u. The calculation puts the mass density at 14.6 g cm⁻³. As for the formation energy: 795 meV/atom. For the total DFT energy (no corrections), the calculation gives -44.81 eV/cell. For the calculated volume, the calculation gives 19.14 Å³ per atom.

Structure (CIF):
```
data_BaInOs4
_chemical_formula_sum 'Ba1 In1 Os4'
_symmetry_space_group_name_H-M 'P 1'
_symmetry_Int_Tables_number 1
_cell_length_a 5.456
_cell_length_b 5.456
_cell_length_c 5.456
_cell_angle_alpha 60.00
_cell_angle_beta 60.00
_cell_angle_gamma 60.00
loop_
_symmetry_equiv_pos_as_xyz
'x,y,z'
loop_
_atom_site_label
_atom_site_fract_x
_atom_site_fract_y
_atom_site_fract_z
_atom_site_occupancy
Os1 0.374 0.878 0.374 1
Os2 0.878 0.374 0.374 1
Os3 0.374 0.374 0.374 1
Os4 0.374 0.374 0.878 1
Ba1 0.750 0.750 0.750 1
In1 0.000 0.000 0.000 1
```

***

BaInOs2 | PBE | relaxed

Summary:
The density of states at the Fermi level is 5.7 states/eV/f.u. The calculation puts the mass density at 12.7 g cm⁻³. As for the formation energy: 1257 meV/atom. For the total DFT energy (no corrections), the calculation gives -22.09 eV/cell. For the calculated volume, the calculation gives 20.65 Å³ per atom.

Structure (CIF):
```
data_BaInOs2
_chemical_formula_sum 'Ba1 In1 Os2'
_symmetry_space_group_name_H-M 'P 1'
_symmetry_Int_Tables_number 1
_cell_length_a 3.054
_cell_length_b 5.638
_cell_length_c 6.055
_cell_angle_alpha 52.37
_cell_angle_beta 90.00
_cell_angle_gamma 90.00
loop_
_symmetry_equiv_pos_as_xyz
'x,y,z'
loop_
_atom_site_label
_atom_site_fract_x
_atom_site_fract_y
_atom_site_fract_z
_atom_site_occupancy
Os1 0.500 0.500 0.000 1
Os2 0.000 0.000 0.000 1
Ba1 0.500 0.500 0.500 1
In1 0.000 0.000 0.500 1
```

***

BaInOs2 | PBE | relaxed

Summary:
The density of states at the Fermi level is 4.3 states/eV/f.u. The calculation puts the mass density at 12.9 g cm⁻³. As for the formation energy: 1176 meV/atom. For the total DFT energy (no corrections), the calculation gives -22.42 eV/cell. For the calculated volume, the calculation gives 20.32 Å³ per atom.

Structure (CIF):
```
data_BaInOs2
_chemical_formula_sum 'Ba1 In1 Os2'
_symmetry_space_group_name_H-M 'P 1'
_symmetry_Int_Tables_number 1
_cell_length_a 3.038
_cell_length_b 3.038
_cell_length_c 9.623
_cell_angle_alpha 90.00
_cell_angle_beta 90.00
_cell_angle_gamma 113.75
loop_
_symmetry_equiv_pos_as_xyz
'x,y,z'
loop_
_atom_site_label
_atom_site_fract_x
_atom_site_fract_y
_atom_site_fract_z
_atom_site_occupancy
In1 0.500 0.500 0.750 1
Ba1 0.500 0.500 0.250 1
Os1 0.000 0.000 0.526 1
Os2 0.000 0.000 0.974 1
```

***

BaInOs2 | PBE | relaxed

Summary:
The density of states at the Fermi level is 4.3 states/eV/f.u. The calculation puts the mass density at 11.6 g cm⁻³. As for the formation energy: 822 meV/atom. For the total DFT energy (no corrections), the calculation gives -23.83 eV/cell. For the calculated volume, the calculation gives 22.63 Å³ per atom.

Structure (CIF):
```
data_BaInOs2
_chemical_formula_sum 'Ba1 In1 Os2'
_symmetry_space_group_name_H-M 'P 1'
_symmetry_Int_Tables_number 1
_cell_length_a 6.352
_cell_length_b 6.352
_cell_length_c 6.352
_cell_angle_alpha 152.60
_cell_angle_beta 129.43
_cell_angle_gamma 58.47
loop_
_symmetry_equiv_pos_as_xyz
'x,y,z'
loop_
_atom_site_label
_atom_site_fract_x
_atom_site_fract_y
_atom_site_fract_z
_atom_site_occupancy
Os1 0.800 0.300 0.500 1
Os2 0.982 0.982 0.000 1
In1 0.209 0.709 0.500 1
Ba1 0.509 0.509 0.000 1
```

***

BaInOs2 | PBE | relaxed

Summary:
The density of states at the Fermi level is 3.4 states/eV/f.u. The calculation puts the mass density at 8.9 g cm⁻³. As for the formation energy: 679 meV/atom. For the total DFT energy (no corrections), the calculation gives -24.41 eV/cell. For the calculated volume, the calculation gives 29.35 Å³ per atom.

Structure (CIF):
```
data_BaInOs2
_chemical_formula_sum 'Ba1 In1 Os2'
_symmetry_space_group_name_H-M 'P 1'
_symmetry_Int_Tables_number 1
_cell_length_a 4.874
_cell_length_b 4.264
_cell_length_c 5.657
_cell_angle_alpha 86.55
_cell_angle_beta 90.00
_cell_angle_gamma 90.00
loop_
_symmetry_equiv_pos_as_xyz
'x,y,z'
loop_
_atom_site_label
_atom_site_fract_x
_atom_site_fract_y
_atom_site_fract_z
_atom_site_occupancy
Os1 0.000 0.503 0.656 1
Os2 0.000 0.997 0.844 1
In1 0.500 0.750 0.750 1
Ba1 0.500 0.250 0.250 1
```

***

BaInOs2 | PBE | relaxed

Summary:
The density of states at the Fermi level is 4.1 states/eV/f.u. The calculation puts the mass density at 12.9 g cm⁻³. As for the formation energy: 1171 meV/atom. For the total DFT energy (no corrections), the calculation gives -22.44 eV/cell. For the calculated volume, the calculation gives 20.34 Å³ per atom.

Structure (CIF):
```
data_BaInOs2
_chemical_formula_sum 'Ba1 In1 Os2'
_symmetry_space_group_name_H-M 'P 1'
_symmetry_Int_Tables_number 1
_cell_length_a 10.131
_cell_length_b 10.131
_cell_length_c 10.131
_cell_angle_alpha 17.42
_cell_angle_beta 17.42
_cell_angle_gamma 17.42
loop_
_symmetry_equiv_pos_as_xyz
'x,y,z'
loop_
_atom_site_label
_atom_site_fract_x
_atom_site_fract_y
_atom_site_fract_z
_atom_site_occupancy
Os1 0.012 0.012 0.012 1
Os2 0.488 0.488 0.488 1
In1 0.750 0.750 0.750 1
Ba1 0.250 0.250 0.250 1
```